# 1
VASP calculation (PBE) on a geometry-optimized NaAcSm2 structure.

a = 3.7392 Å, b = 3.7392 Å, c = 10.6216 Å
α = 90.00°, β = 90.00°, γ = 90.00°
Positions (direct):
Na 0.0000 0.0000 0.0000
Ac 0.0000 0.0000 0.5000
Sm 0.5000 0.5000 0.2565
Sm 0.5000 0.5000 0.7435

## Properties
Volume in Å³ per atom: 37.126
Offset from the most stable computed form in meV per atom: 0
Density in g cm⁻³: 6.158

***

# 2
VASP calculation (PBE) on a geometry-optimized NaAc2Sm structure.

a = 13.6330 Å, b = 13.6330 Å, c = 13.6330 Å
α = 16.14°, β = 16.14°, γ = 16.14°
Positions (direct):
Na 0.0000 0.0000 0.0000
Ac 0.0918 0.0918 0.0918
Ac 0.9082 0.9082 0.9082
Sm 0.5000 0.5000 0.5000

## Properties
Volume in Å³ per atom: 42.677
Offset from the most stable computed form in meV per atom: 63
Density in g cm⁻³: 6.102

***

# 3
VASP calculation (PBE) on a geometry-optimized NaAcSmSn structure.

a = 5.6409 Å, b = 5.6409 Å, c = 5.6409 Å
α = 60.00°, β = 60.00°, γ = 60.00°
Positions (direct):
Na 0.0000 0.0000 0.0000
Ac 0.2500 0.2500 0.2500
Sm 0.7500 0.7500 0.7500
Sn 0.5000 0.5000 0.5000

## Properties
Volume in Å³ per atom: 31.730
Electronic total energy in Ry per atom: -0.2801
Density in g cm⁻³: 6.791

***

# 4
VASP calculation (PBE) on a geometry-optimized Na2AcSmTe4 structure.

a = 8.0211 Å, b = 4.6449 Å, c = 8.0536 Å
α = 90.00°, β = 109.51°, γ = 90.00°
Positions (direct):
Na 0.0000 0.0000 0.0000
Na 0.0000 0.5000 0.5000
Ac 0.5000 0.0000 0.5000
Sm 0.5000 0.5000 0.0000
Te 0.2541 0.5000 0.2386
Te 0.2613 0.0000 0.7655
Te 0.7387 0.0000 0.2345
Te 0.7459 0.5000 0.7614

## Properties
Volume in Å³ per atom: 35.353
Electronic total energy in Ry per atom: -0.3202
Density in g cm⁻³: 5.482

***

# 5
VASP calculation (PBE) on a geometry-optimized Na3Ac2SmTe6 structure.

a = 10.4134 Å, b = 10.4134 Å, c = 9.3128 Å
α = 102.20°, β = 102.20°, γ = 26.02°
Positions (direct):
Na 0.0000 0.0000 0.0000
Na 0.3331 0.3331 0.6674
Na 0.6669 0.6669 0.3326
Ac 0.3352 0.3352 0.1715
Ac 0.6648 0.6648 0.8285
Sm 0.0000 0.0000 0.5000
Te 0.1607 0.1607 0.5754
Te 0.1663 0.1663 0.0833
Te 0.4983 0.4983 0.7331
Te 0.5017 0.5017 0.2669
Te 0.8337 0.8337 0.9167
Te 0.8393 0.8393 0.4246

## Properties
Volume in Å³ per atom: 36.039
Electronic total energy in Ry per atom: -0.3193
Density in g cm⁻³: 5.525

***

# 6
VASP calculation (PBE) on a geometry-optimized Na3AcSm2Te6 structure.

a = 7.9661 Å, b = 7.9661 Å, c = 8.0213 Å
α = 99.56°, β = 99.56°, γ = 120.03°
Positions (direct):
Na 0.0000 0.0000 0.0000
Na 0.3364 0.6636 0.0000
Na 0.6636 0.3364 0.0000
Ac 0.5000 0.5000 0.5000
Sm 0.1673 0.8327 0.5000
Sm 0.8327 0.1673 0.5000
Te 0.0725 0.4195 0.2598
Te 0.2333 0.2333 0.7407
Te 0.4195 0.0725 0.2598
Te 0.5805 0.9275 0.7402
Te 0.7667 0.7667 0.2593
Te 0.9275 0.5805 0.7402

## Properties
Volume in Å³ per atom: 34.636
Electronic total energy in Ry per atom: -0.3215
Density in g cm⁻³: 5.443

***

Question: What is the formula in the sixth record?
Answer: Na3AcSm2Te6

***

Question: Look up the volume of the second one.
Answer: 42.677 Å³ per atom

***

Question: Among the records above, which one has the lowest density?
Answer: Na3AcSm2Te6